Entry 1:
Below is a geometry-optimized CaEr2Co structure, with properties calculated at the PBE-GGA level. Values from VASP.

Properties
The calculation puts the volume at 31.63 Å³/atom. The distance to the lowest polymorph of the same formula is 0.134 eV per atom. The calculation puts the total magnetization at 0.0 Bohr magnetons per cell.

Geometry as Quantum ESPRESSO input:
```
&SYSTEM
  ibrav = 0, nat = 4, ntyp = 3
/
ATOMIC_SPECIES
Co 58.93 Co.upf
Er 167.26 Er.upf
Ca 40.08 Ca.upf
CELL_PARAMETERS angstrom
3.766 0.000 0.000
1.883 3.262 0.000
1.883 1.087 10.299
ATOMIC_POSITIONS angstrom
Co 3.766 2.174 5.150
Er 1.883 1.087 6.603
Er 5.649 3.262 3.696
Ca 0.000 0.000 0.000
```

---

Entry 2:
Below is a geometry-optimized MgAlAsBr2 structure, with properties calculated at the PBE-GGA level. Values from VASP.

Properties
The calculation puts the volume at 25.99 Å³/atom. The distance to the lowest polymorph of the same formula is 0.000 eV per atom. The calculation puts the total magnetization at 0.0 Bohr magnetons per cell.

Geometry as Quantum ESPRESSO input:
```
&SYSTEM
  ibrav = 0, nat = 5, ntyp = 4
/
ATOMIC_SPECIES
Al 26.98 Al.upf
Br 79.90 Br.upf
As 74.92 As.upf
Mg 24.30 Mg.upf
CELL_PARAMETERS angstrom
4.996 0.000 0.000
0.000 4.996 0.000
0.000 0.000 5.206
ATOMIC_POSITIONS angstrom
Al 0.000 0.000 0.000
Br 2.498 0.000 0.000
Br 0.000 2.498 0.000
As 0.000 0.000 2.603
Mg 2.498 2.498 2.603
```

---

Entry 3:
Below is a geometry-optimized CaHfAsBr2 structure, with properties calculated at the PBE-GGA level. Values from VASP.

Properties
The calculation puts the volume at 32.34 Å³/atom. The distance to the lowest polymorph of the same formula is 0.799 eV per atom. The calculation puts the total magnetization at 1.0 Bohr magnetons per cell.

Geometry as Quantum ESPRESSO input:
```
&SYSTEM
  ibrav = 0, nat = 5, ntyp = 4
/
ATOMIC_SPECIES
Ca 40.08 Ca.upf
Hf 178.49 Hf.upf
Br 79.90 Br.upf
As 74.92 As.upf
CELL_PARAMETERS angstrom
5.180 0.000 0.000
0.000 5.180 0.000
0.000 0.000 6.026
ATOMIC_POSITIONS angstrom
Ca 0.000 0.000 0.000
Hf 2.590 2.590 3.013
Br 2.590 0.000 0.000
Br 0.000 2.590 0.000
As 0.000 0.000 3.013
```

---

Entry 4:
Below is a geometry-optimized Ho2ErTl structure, with properties calculated at the PBE-GGA level. Values from VASP.

Properties
The calculation puts the volume at 28.04 Å³/atom. The distance to the lowest polymorph of the same formula is 0.000 eV per atom. The calculation puts the total magnetization at 0.6 Bohr magnetons per cell.

Geometry as Quantum ESPRESSO input:
```
&SYSTEM
  ibrav = 0, nat = 4, ntyp = 3
/
ATOMIC_SPECIES
Ho 164.93 Ho.upf
Tl 204.38 Tl.upf
Er 167.26 Er.upf
CELL_PARAMETERS angstrom
4.826 0.000 0.000
0.000 4.821 0.000
0.000 0.000 4.821
ATOMIC_POSITIONS angstrom
Ho 0.000 0.000 2.411
Ho 0.000 2.411 0.000
Tl 2.413 0.000 0.000
Er 2.413 2.411 2.411
```

---

Entry 5:
Below is a geometry-optimized Al2Ga7 structure, with properties calculated at the PBE-GGA level. Values from VASP.

Properties
The calculation puts the volume at 18.57 Å³/atom. The calculation puts the total magnetization at 0.0 Bohr magnetons per cell. The calculation puts the total energy at -3.14 eV per atom.

Geometry as Quantum ESPRESSO input:
```
&SYSTEM
  ibrav = 0, nat = 9, ntyp = 2
/
ATOMIC_SPECIES
Ga 69.72 Ga.upf
Al 26.98 Al.upf
CELL_PARAMETERS angstrom
-1.858 -1.454 4.319
4.507 -1.443 -1.351
3.114 6.440 3.509
ATOMIC_POSITIONS angstrom
Ga 0.000 0.000 0.000
Ga -0.213 1.147 4.022
Ga 1.910 1.142 2.147
Ga 1.469 3.838 3.805
Ga 3.603 3.842 1.904
Ga 3.852 2.400 4.329
Ga 4.018 1.155 0.254
Al 0.263 -1.451 2.429
Al 2.385 -1.447 0.539
```

---

Entry 6:
Below is a geometry-optimized Ga4Ni7Sn structure, with properties calculated at the PBE-GGA level. Values from VASP.

Properties
The calculation puts the volume at 13.91 Å³/atom. The calculation puts the total magnetization at 0.0 Bohr magnetons per cell. The calculation puts the total energy at -4.81 eV per atom.

Geometry as Quantum ESPRESSO input:
```
&SYSTEM
  ibrav = 0, nat = 12, ntyp = 3
/
ATOMIC_SPECIES
Ni 58.69 Ni.upf
Ga 69.72 Ga.upf
Sn 118.71 Sn.upf
CELL_PARAMETERS angstrom
4.567 0.000 0.000
2.284 7.679 -0.059
2.284 0.260 4.759
ATOMIC_POSITIONS angstrom
Ni 6.851 2.952 3.494
Ni 4.567 4.231 3.588
Ni 2.284 0.769 2.299
Ni 2.284 4.987 1.206
Ni 2.284 0.000 0.000
Ni 6.851 7.169 2.401
Ni 4.567 3.708 1.112
Ga 4.567 6.033 1.898
Ga 4.567 1.905 2.802
Ga 2.284 2.581 0.779
Ga 6.851 5.357 3.921
Sn 0.000 0.000 0.000
```

---

Computed density of states at the Fermi level, in the same sequence as the records: 4.23 2.96 3.12 5.44 2.53 7.37 states/eV/f.u..